Here is crystalline TbCeOsRu at its relaxed geometry from the Alexandria database. Energies are from PBE-GGA.

a = 4.8688 Å, b = 4.8688 Å, c = 4.8688 Å
α = 60.00°, β = 60.00°, γ = 60.00°
Closest atoms and distances in Å follow each position.
Fractional coordinates of all 4 atoms:
Tb  0.0000  0.0000  0.0000  4 Os 2.98, 4 Ru 2.98
Ce  0.5000  0.5000  0.5000  4 Ru 2.98, 4 Os 2.98
Os  0.7500  0.7500  0.7500  4 Tb 2.98, 4 Ce 2.98
Ru  0.2500  0.2500  0.2500  4 Tb 2.98, 4 Ce 2.98

## Properties
For the density of states at the Fermi level, the calculation gives 3.96 states/eV/cell. For the volume, the calculation gives 20.40 Å³ per atom. The calculation puts the electronic total energy at -7.980 eV per atom. As for the formation energy: -0.85 eV per formula unit. The total magnetic moment comes out at 0.00 μB per cell.